1.
Here is a relaxed Hf3MgTc crystal from Alexandria. Energies are from PBE-GGA.

## Properties
* SG: Pm-3m, No. 221
* E above lowest polymorph: 0 meV per atom
* calculated formation energy: 0.4549 eV per atom

Geometry as POSCAR:
```
Hf3MgTc
1.0
5.013 0.000 0.000
0.000 5.013 0.000
0.000 0.000 5.013
Hf Mg Tc
3 1 1
Cartesian
0.000 0.000 2.507
0.000 2.507 0.000
2.507 0.000 0.000
2.507 2.507 2.507
0.000 0.000 0.000
```



2.
Here is a relaxed K3Pu2TlSe6 crystal from Alexandria. Energies are from PBE-GGA.

## Properties
* SG: C2/m, No. 12
* final energy: -5.808 eV per atom

Geometry as POSCAR:
```
K3Pu2TlSe6
1.0
3.793 -6.562 0.000
3.793 6.562 0.000
-2.559 0.000 7.551
K Pu Tl Se
3 2 1 6
Cartesian
0.000 0.000 0.000
3.793 2.031 0.000
3.793 -2.031 0.000
2.514 4.362 3.776
2.514 -4.362 3.776
2.514 0.000 3.776
1.102 2.433 2.214
-0.288 0.000 5.318
1.102 -2.433 2.214
3.926 2.433 5.337
5.315 0.000 2.233
3.926 -2.433 5.337
```



Question: Number 1 is which compound?
Answer: Hf3MgTc